# 1
Entry from Alexandria via LeMat-Bulk: a geometry-optimized ErB3Pt6 structure (PBE-GGA).

Computed properties:
Energy of formation in eV per atom: -0.523
VASP energy in eV per atom: -6.61

Structure (CIF):
```
data_ErB3Pt6
_chemical_formula_sum 'Er1 B3 Pt6'
_cell_length_a 5.581
_cell_length_b 5.598
_cell_length_c 5.728
_cell_angle_alpha 108.96
_cell_angle_beta 91.18
_cell_angle_gamma 119.44
_symmetry_space_group_name_H-M 'P 1'
_symmetry_Int_Tables_number 1
_symmetry_space_group_name_Hall 'P 1'
loop_
_atom_site_label
_atom_site_fract_x
_atom_site_fract_y
_atom_site_fract_z
_atom_site_occupancy
Er1 0.000 0.000 0.000 1
B1 0.122 0.231 0.505 1
B2 0.350 0.731 0.137 1
B3 0.699 0.409 0.151 1
Pt1 0.091 0.562 0.381 1
Pt2 0.461 0.946 0.859 1
Pt3 0.470 0.176 0.383 1
Pt4 0.477 0.457 0.867 1
Pt5 0.715 0.811 0.402 1
Pt6 0.958 0.408 0.816 1
```


# 2
Entry from Alexandria via LeMat-Bulk: a geometry-optimized ErBPtRh2 structure (PBE-GGA).

Computed properties:
Energy of formation in eV per atom: -0.885
VASP energy in eV per atom: -7.28

Structure (CIF):
```
data_ErBPtRh2
_chemical_formula_sum 'Er1 B1 Pt1 Rh2'
_cell_length_a 4.230
_cell_length_b 4.230
_cell_length_c 4.209
_cell_angle_alpha 90.00
_cell_angle_beta 90.00
_cell_angle_gamma 90.00
_symmetry_space_group_name_H-M 'P 4/m m m'
_symmetry_Int_Tables_number 123
_symmetry_space_group_name_Hall '-P 4 2'
loop_
_atom_site_label
_atom_site_fract_x
_atom_site_fract_y
_atom_site_fract_z
_atom_site_occupancy
Er1 0.000 0.000 0.000 1
B1 0.500 0.500 0.500 1
Pt1 0.500 0.500 0.000 1
Rh1 0.000 0.500 0.500 1
```


# 3
Entry from Alexandria via LeMat-Bulk: a geometry-optimized Er3SiB2Pt9 structure (PBE-GGA).

Computed properties:
Formation energy from raw total energies in eV per atom: -0.90
VASP energy in eV per atom: -6.69

Structure (CIF):
```
data_Er3SiB2Pt9
_chemical_formula_sum 'Er3 Si1 B2 Pt9'
_cell_length_a 5.7103
_cell_length_b 5.7103
_cell_length_c 9.0618
_cell_angle_alpha 90.00
_cell_angle_beta 90.00
_cell_angle_gamma 120.00
_symmetry_space_group_name_H-M 'P -3 m 1'
_symmetry_Int_Tables_number 164
_symmetry_space_group_name_Hall '-P 3 2"'
loop_
_atom_site_label
_atom_site_fract_x
_atom_site_fract_y
_atom_site_fract_z
_atom_site_occupancy
Er1 0.0000 0.0000 0.0000 1
Er2 0.3333 0.6667 0.5994 1
Si1 0.0000 0.0000 0.5000 1
B1 0.3333 0.6667 0.1513 1
Pt1 0.0000 0.5000 0.0000 1
Pt2 0.1644 0.3287 0.2958 1
```


# 4
Entry from Alexandria via LeMat-Bulk: a geometry-optimized Sm2ErB3Pt12 structure (PBE-GGA).

Computed properties:
Energy of formation in eV per atom: -0.473
VASP energy in eV per atom: -6.39

Structure (CIF):
```
data_Sm2ErB3Pt12
_chemical_formula_sum 'Sm6 Er3 B9 Pt36'
_cell_length_a 8.0601
_cell_length_b 8.0601
_cell_length_c 17.1775
_cell_angle_alpha 90.00
_cell_angle_beta 90.00
_cell_angle_gamma 120.00
_symmetry_space_group_name_H-M 'R -3 m'
_symmetry_Int_Tables_number 166
_symmetry_space_group_name_Hall '-R 3 2"'
loop_
_atom_site_label
_atom_site_fract_x
_atom_site_fract_y
_atom_site_fract_z
_atom_site_occupancy
Sm1 0.0000 0.0000 0.0958 1
Er1 0.0000 0.0000 0.5000 1
B1 0.0000 0.5000 0.0000 1
Pt1 0.0323 0.5162 0.8760 1
Pt2 0.0613 0.5306 0.3472 1
```


# 5
Entry from Alexandria via LeMat-Bulk: a geometry-optimized Er2ZnBPt6 structure (PBE-GGA).

Computed properties:
Energy of formation in eV per atom: -0.886
VASP energy in eV per atom: -6.22

Structure (CIF):
```
data_Er2ZnBPt6
_chemical_formula_sum 'Er6 Zn3 B3 Pt18'
_cell_length_a 5.5830
_cell_length_b 5.5830
_cell_length_c 19.7290
_cell_angle_alpha 90.00
_cell_angle_beta 90.00
_cell_angle_gamma 120.00
_symmetry_space_group_name_H-M 'R -3 m'
_symmetry_Int_Tables_number 166
_symmetry_space_group_name_Hall '-R 3 2"'
loop_
_atom_site_label
_atom_site_fract_x
_atom_site_fract_y
_atom_site_fract_z
_atom_site_occupancy
Er1 0.0000 0.0000 0.2082 1
Zn1 0.0000 0.0000 0.5000 1
B1 0.0000 0.0000 0.0000 1
Pt1 0.0070 0.5035 0.2667 1
```


# 6
Entry from Alexandria via LeMat-Bulk: a geometry-optimized ErPuB structure (PBE-GGA).

Computed properties:
Energy of formation in eV per atom: 0.154
VASP energy in eV per atom: -8.37

Structure (CIF):
```
data_ErPuB
_chemical_formula_sum 'Er2 Pu2 B2'
_cell_length_a 3.355
_cell_length_b 3.665
_cell_length_c 10.876
_cell_angle_alpha 90.00
_cell_angle_beta 90.00
_cell_angle_gamma 90.00
_symmetry_space_group_name_H-M 'P m m m'
_symmetry_Int_Tables_number 47
_symmetry_space_group_name_Hall '-P 2 2'
loop_
_atom_site_label
_atom_site_fract_x
_atom_site_fract_y
_atom_site_fract_z
_atom_site_occupancy
Er1 0.000 0.000 0.000 1
Er2 0.500 0.000 0.500 1
Pu1 0.000 0.500 0.265 1
B1 0.500 0.500 0.075 1
```


# 7
Entry from Alexandria via LeMat-Bulk: a geometry-optimized Er2PuB6 structure (PBE-GGA).

Computed properties:
Energy of formation in eV per atom: -0.512
VASP energy in eV per atom: -7.57

Structure (CIF):
```
data_Er2PuB6
_chemical_formula_sum 'Er2 Pu1 B6'
_cell_length_a 5.6170
_cell_length_b 5.6170
_cell_length_c 3.8800
_cell_angle_alpha 90.00
_cell_angle_beta 90.00
_cell_angle_gamma 120.00
_symmetry_space_group_name_H-M 'P 6/m m m'
_symmetry_Int_Tables_number 191
_symmetry_space_group_name_Hall '-P 6 2'
loop_
_atom_site_label
_atom_site_fract_x
_atom_site_fract_y
_atom_site_fract_z
_atom_site_occupancy
Er1 0.3333 0.6667 0.0000 1
Pu1 0.0000 0.0000 0.0000 1
B1 0.0000 0.3322 0.5000 1
```


# 8
Entry from Alexandria via LeMat-Bulk: a geometry-optimized Rb2ErB2S6 structure (PBE-GGA).

Computed properties:
Formation energy from raw total energies in eV per atom: -0.97
VASP energy in eV per atom: -5.02

Structure (CIF):
```
data_Rb2ErB2S6
_chemical_formula_sum 'Rb4 Er2 B4 S12'
_cell_length_a 11.620
_cell_length_b 6.697
_cell_length_c 8.478
_cell_angle_alpha 90.00
_cell_angle_beta 117.13
_cell_angle_gamma 90.00
_symmetry_space_group_name_H-M 'C 1 2/m 1'
_symmetry_Int_Tables_number 12
_symmetry_space_group_name_Hall '-C 2y'
loop_
_atom_site_label
_atom_site_fract_x
_atom_site_fract_y
_atom_site_fract_z
_atom_site_occupancy
Rb1 0.213 0.000 0.140 1
Er1 0.000 0.000 0.500 1
B1 0.094 0.500 0.283 1
S1 0.010 0.266 0.266 1
S2 0.245 0.500 0.269 1
```


# 9
Entry from Alexandria via LeMat-Bulk: a geometry-optimized Rb2ErBSe4 structure (PBE-GGA).

Computed properties:
Formation energy from raw total energies in eV per atom: -1.00
VASP energy in eV per atom: -4.39

Structure (CIF):
```
data_Rb2ErBSe4
_chemical_formula_sum 'Rb16 Er8 B8 Se32'
_cell_length_a 5.986
_cell_length_b 14.703
_cell_length_c 25.422
_cell_angle_alpha 90.00
_cell_angle_beta 90.00
_cell_angle_gamma 90.00
_symmetry_space_group_name_H-M 'F d d d'
_symmetry_Int_Tables_number 70
loop_
_symmetry_equiv_pos_as_xyz
'x,y,z'
'-x,-y,-z'
'-x+1/4,-y+1/4,z'
'x+1/4,y+1/4,-z'
'x,-y+1/4,-z+1/4'
'-x,y+1/4,z+1/4'
'-x+1/4,y,-z+1/4'
'x+1/4,-y,z+1/4'
'x,y+1/2,z+1/2'
'-x,-y+1/2,-z+1/2'
'-x+1/4,-y+3/4,z+1/2'
'x+1/4,y+3/4,-z+1/2'
'x,-y+3/4,-z+3/4'
'-x,y+3/4,z+3/4'
'-x+1/4,y+1/2,-z+3/4'
'x+1/4,-y+1/2,z+3/4'
'x+1/2,y,z+1/2'
'-x+1/2,-y,-z+1/2'
'-x+3/4,-y+1/4,z+1/2'
'x+3/4,y+1/4,-z+1/2'
'x+1/2,-y+1/4,-z+3/4'
'-x+1/2,y+1/4,z+3/4'
'-x+3/4,y,-z+3/4'
'x+3/4,-y,z+3/4'
'x+1/2,y+1/2,z'
'-x+1/2,-y+1/2,-z'
'-x+3/4,-y+3/4,z'
'x+3/4,y+3/4,-z'
'x+1/2,-y+3/4,-z+1/4'
'-x+1/2,y+3/4,z+1/4'
'-x+3/4,y+1/2,-z+1/4'
'x+3/4,-y+1/2,z+1/4'
loop_
_atom_site_label
_atom_site_fract_x
_atom_site_fract_y
_atom_site_fract_z
_atom_site_occupancy
Rb1 0.125 0.125 0.305 1
Er1 0.125 0.125 0.125 1
B1 0.125 0.125 0.625 1
Se1 0.058 0.286 0.824 1
```


# 10
Entry from Alexandria via LeMat-Bulk: a geometry-optimized ErReB4 structure (PBE-GGA).

Computed properties:
Energy of formation in eV per atom: -0.326
VASP energy in eV per atom: -7.61

Structure (CIF):
```
data_ErReB4
_chemical_formula_sum 'Er2 Re2 B8'
_cell_length_a 3.143
_cell_length_b 5.357
_cell_length_c 7.025
_cell_angle_alpha 90.00
_cell_angle_beta 90.00
_cell_angle_gamma 90.00
_symmetry_space_group_name_H-M 'I m m m'
_symmetry_Int_Tables_number 71
_symmetry_space_group_name_Hall '-I 2 2'
loop_
_atom_site_label
_atom_site_fract_x
_atom_site_fract_y
_atom_site_fract_z
_atom_site_occupancy
Er1 0.000 0.000 0.000 1
Re1 0.000 0.000 0.500 1
B1 0.000 0.336 0.250 1
```


# 11
Entry from Alexandria via LeMat-Bulk: a geometry-optimized ErReB4 structure (PBE-GGA).

Computed properties:
Energy of formation in eV per atom: -0.600
VASP energy in eV per atom: -7.89

Structure (CIF):
```
data_ErReB4
_chemical_formula_sum 'Er4 Re4 B16'
_cell_length_a 5.953
_cell_length_b 11.514
_cell_length_c 3.603
_cell_angle_alpha 90.00
_cell_angle_beta 90.00
_cell_angle_gamma 90.00
_symmetry_space_group_name_H-M 'P b a m'
_symmetry_Int_Tables_number 55
_symmetry_space_group_name_Hall '-P 2 2ab'
loop_
_atom_site_label
_atom_site_fract_x
_atom_site_fract_y
_atom_site_fract_z
_atom_site_occupancy
Er1 0.127 0.150 0.000 1
Re1 0.133 0.412 0.000 1
B1 0.022 0.693 0.500 1
B2 0.114 0.548 0.500 1
B3 0.136 0.969 0.500 1
B4 0.212 0.815 0.500 1
```


# 12
Entry from Alexandria via LeMat-Bulk: a geometry-optimized Er3Re3B8 structure (PBE-GGA).

Computed properties:
Energy of formation in eV per atom: -0.190
VASP energy in eV per atom: -7.65

Structure (CIF):
```
data_Er3Re3B8
_chemical_formula_sum 'Er6 Re6 B16'
_cell_length_a 3.131
_cell_length_b 9.673
_cell_length_c 10.996
_cell_angle_alpha 90.00
_cell_angle_beta 90.00
_cell_angle_gamma 90.00
_symmetry_space_group_name_H-M 'I m m m'
_symmetry_Int_Tables_number 71
_symmetry_space_group_name_Hall '-I 2 2'
loop_
_atom_site_label
_atom_site_fract_x
_atom_site_fract_y
_atom_site_fract_z
_atom_site_occupancy
Er1 0.000 0.000 0.000 1
Er2 0.000 0.000 0.285 1
Re1 0.000 0.242 0.500 1
Re2 0.000 0.500 0.000 1
B1 0.000 0.287 0.300 1
B2 0.000 0.307 0.142 1
```